1.
KRbCoGe2 | PBE-GGA | relaxed

* DFT formation energy: 1.66 eV/atom

Lattice parameters (Å, degrees): 5.7340 5.7340 5.8980 90.00 90.00 90.00
Last column: nearest neighbours and their distance in Å.
Space group P4/mmm (No. 123)
Inequivalent atoms, fractional coordinates:
K 0.0000 0.0000 0.0000 x1  4 Ge 2.87, 2 Rb 2.95
Rb 0.0000 0.0000 0.5000 x1  2 K 2.95
Co 0.5000 0.5000 0.5000 x1  4 Rb 4.05, 8 Ge 4.11
Ge 0.0000 0.5000 0.0000 x2  2 K 2.87

2.
K2CoSiGe | PBE-GGA | relaxed

Lattice parameters (Å, degrees): 6.0905 6.0905 4.3469 90.00 90.00 90.00
Last column: nearest neighbours and their distance in Å.
Space group P4/mmm (No. 123)
Inequivalent atoms, fractional coordinates:
K 0.0000 0.5000 0.0000 x2  2 Co 3.05
Co 0.0000 0.0000 0.0000 x1  2 Si 2.17
Si 0.0000 0.0000 0.5000 x1  2 Co 2.17
Ge 0.5000 0.5000 0.5000 x1  8 K 3.74

3.
K2SrCoGe | PBE-GGA | relaxed

* DFT formation energy: 0.43 eV/atom

Lattice parameters (Å, degrees): 6.1603 6.1603 4.6059 90.00 90.00 90.00
Last column: nearest neighbours and their distance in Å.
Space group P4/mmm (No. 123)
Inequivalent atoms, fractional coordinates:
K 0.0000 0.5000 0.0000 x2  2 Co 3.08
Sr 0.0000 0.0000 0.5000 x1  8 K 3.85
Co 0.5000 0.5000 0.0000 x1  2 Ge 2.30
Ge 0.5000 0.5000 0.5000 x1  2 Co 2.30

4.
KZn2CoGe | PBE-GGA | relaxed

* DFT formation energy: -0.05 eV/atom

Lattice parameters (Å, degrees): 4.8032 4.8032 4.4636 90.00 90.00 90.00
Last column: nearest neighbours and their distance in Å.
Space group P4/mmm (No. 123)
Inequivalent atoms, fractional coordinates:
K 0.0000 0.0000 0.0000 x1  8 Zn 3.28, 4 Ge 3.40
Zn 0.0000 0.5000 0.5000 x2  2 Co 2.40
Co 0.5000 0.5000 0.5000 x1  2 Ge 2.23, 4 Zn 2.40
Ge 0.5000 0.5000 0.0000 x1  2 Co 2.23

5.
La2Co3Ge5 | PBE-GGA | relaxed

* DFT formation energy: -0.60 eV/atom

Lattice parameters (Å, degrees): 9.8948 12.0084 5.9472 90.00 90.00 90.00
Last column: nearest neighbours and their distance in Å.
Space group Ibam (No. 72)
Inequivalent atoms, fractional coordinates:
La 0.2382 0.1329 0.0000 x8  10 Ge 2.99-3.32, 3 Co 3.16-3.23
Co 0.0000 0.5000 0.2500 x4  4 Ge 2.44
Co 0.1101 0.1357 0.5000 x8  5 Ge 2.38-2.46
Ge 0.0000 0.0000 0.2500 x4  4 Co 2.46
Ge 0.0000 0.2633 0.2500 x8  2 Co 2.40
Ge 0.1536 0.4006 0.0000 x8  3 Co 2.38-2.44

6.
LaCo2Ge | PBE-GGA | relaxed

* DFT formation energy: -0.05 eV/atom

Lattice parameters (Å, degrees): 6.4150 6.4150 6.4150 90.00 90.00 90.00
Last column: nearest neighbours and their distance in Å.
Space group Fm-3m (No. 225)
Inequivalent atoms, fractional coordinates:
La 0.0000 0.0000 0.0000 x4  8 Co 2.78
Co 0.2500 0.2500 0.2500 x8  4 Ge 2.78, 4 La 2.78
Ge 0.0000 0.0000 0.5000 x4  8 Co 2.78

Record-wise energy values, in eV per atom: -2.02; -3.20; -2.69; -3.12; -6.02; -5.99